VASP calculation (PBE-GGA) on crystalline MgMn3Be at its relaxed geometry.

Summary:
energy of formation = 8.43 eV per formula unit
M_tot = 10.2 μB per cell
mass density = 3462 kg/m3

Lattice parameters (Å, degrees): 4.563 4.563 4.563 90.00 90.00 90.00
Positions (direct):
Be  0.500  0.500  0.500
Mg  0.000  0.000  0.000
Mn  0.000  0.500  0.000
Mn  0.000  0.000  0.500
Mn  0.500  0.000  0.000